The following is a GGA-PBE calculation of a relaxed Ce2PmOsN4 crystal, from the Alexandria database.

The structure in CIF format:
```
data_Ce2PmOsN4
_chemical_formula_sum 'Ce8 Pm4 Os4 N16'
_space_group_name_H-M_alt 'C m c m'
_space_group_IT_number 63
_space_group_name_Hall '-C 2c 2'
_cell_length_a 3.410
_cell_length_b 11.955
_cell_length_c 11.796
_cell_angle_alpha 90.00
_cell_angle_beta 90.00
_cell_angle_gamma 90.00
loop_
_atom_site_label
_atom_site_type_symbol
_atom_site_fract_x
_atom_site_fract_y
_atom_site_fract_z
Ce1 Ce 0.000 0.131 0.049
Pm1 Pm 0.000 0.388 0.250
Os1 Os 0.000 0.351 0.750
N1 N 0.000 0.045 0.250
N2 N 0.000 0.229 0.627
N3 N 0.000 0.500 0.000
```

**V**: 15.03 Å³/atom
**E_tot**: -8.6189 eV per atom
**Magnetization**: 0.00 μB/f.u.

---

The following is a GGA-PBE calculation of a relaxed LiAcLaAu crystal, from the Alexandria database.

The structure in CIF format:
```
data_LiAcLaAu
_chemical_formula_sum 'Li2 Ac2 La2 Au2'
_space_group_name_H-M_alt 'A m m 2'
_space_group_IT_number 38
_space_group_name_Hall 'A 2 -2'
_cell_length_a 4.841
_cell_length_b 4.186
_cell_length_c 11.612
_cell_angle_alpha 90.00
_cell_angle_beta 90.00
_cell_angle_gamma 90.00
loop_
_atom_site_label
_atom_site_type_symbol
_atom_site_fract_x
_atom_site_fract_y
_atom_site_fract_z
Li1 Li 0.000 0.000 0.000
Ac1 Ac 0.500 0.000 0.408
La1 La 0.000 0.000 0.705
Au1 Au 0.500 0.000 0.123
```

**V**: 29.42 Å³/atom
**E_tot**: -3.9164 eV per atom
**Magnetization**: 0.01 μB/f.u.
**Formation energy**: -0.36 eV per atom
**Distance to the lowest polymorph of the same formula**: 0.0 kJ/mol of atoms

---

The following is a GGA-PBE calculation of a relaxed K3Pm3ErO8 crystal, from the Alexandria database.

The structure in CIF format:
```
data_K3Pm3ErO8
_chemical_formula_sum 'K9 Pm9 Er3 O24'
_space_group_name_H-M_alt 'R -3 m'
_space_group_IT_number 166
_space_group_name_Hall '-R 3 2"'
_cell_length_a 7.1509
_cell_length_b 7.1509
_cell_length_c 18.9804
_cell_angle_alpha 90.00
_cell_angle_beta 90.00
_cell_angle_gamma 120.00
loop_
_atom_site_label
_atom_site_type_symbol
_atom_site_fract_x
_atom_site_fract_y
_atom_site_fract_z
K1 K 0.0000 0.5000 0.0000
Pm1 Pm 0.0000 0.5000 0.5000
Er1 Er 0.0000 0.0000 0.5000
O1 O 0.0000 0.0000 0.2292
O2 O 0.0153 0.5076 0.2260
```

**V**: 18.68 Å³/atom
**E_tot**: -6.7701 eV per atom
**Magnetization**: 1.22 μB/f.u.

---

The following is a GGA-PBE calculation of a relaxed Ac2Hg3Pb2 crystal, from the Alexandria database.

The structure in CIF format:
```
data_Ac2Hg3Pb2
_chemical_formula_sum 'Ac8 Hg12 Pb8'
_space_group_name_H-M_alt 'I 21 3'
_space_group_IT_number 199
_space_group_name_Hall 'I 2b 2c 3'
_cell_length_a 9.729
_cell_length_b 9.729
_cell_length_c 9.729
_cell_angle_alpha 90.00
_cell_angle_beta 90.00
_cell_angle_gamma 90.00
loop_
_atom_site_label
_atom_site_type_symbol
_atom_site_fract_x
_atom_site_fract_y
_atom_site_fract_z
Ac1 Ac 0.244 0.244 0.244
Hg1 Hg 0.000 0.250 0.991
Pb1 Pb 0.054 0.446 0.554
```

**V**: 32.89 Å³/atom
**E_tot**: -2.6051 eV per atom
**Magnetization**: 0.00 μB/f.u.
**Formation energy**: -0.24 eV per atom

---

The following is a GGA-PBE calculation of a relaxed Nd4Sb2H crystal, from the Alexandria database.

The structure in CIF format:
```
data_Nd4Sb2H
_chemical_formula_sum 'Nd8 Sb4 H2'
_space_group_name_H-M_alt 'P 1 21/m 1'
_space_group_IT_number 11
_space_group_name_Hall '-P 2yb'
_cell_length_a 6.950
_cell_length_b 6.521
_cell_length_c 9.014
_cell_angle_alpha 90.00
_cell_angle_beta 107.77
_cell_angle_gamma 90.00
loop_
_atom_site_label
_atom_site_type_symbol
_atom_site_fract_x
_atom_site_fract_y
_atom_site_fract_z
Nd1 Nd 0.014 0.002 0.287
Nd2 Nd 0.370 0.750 0.070
Nd3 Nd 0.430 0.750 0.637
Sb1 Sb 0.216 0.250 0.041
Sb2 Sb 0.309 0.250 0.590
H1 H 0.231 0.750 0.803
```

**V**: 27.78 Å³/atom
**E_tot**: -5.1749 eV per atom
**Magnetization**: 0.00 μB/f.u.
**Distance to the lowest polymorph of the same formula**: 3.6 kJ/mol of atoms

---

The following is a GGA-PBE calculation of a relaxed LiGe2S3 crystal, from the Alexandria database.

The structure in CIF format:
```
data_LiGe2S3
_chemical_formula_sum 'Li4 Ge8 S12'
_space_group_name_H-M_alt 'F m m 2'
_space_group_IT_number 42
_space_group_name_Hall 'F 2 -2'
_cell_length_a 5.074
_cell_length_b 16.608
_cell_length_c 5.356
_cell_angle_alpha 90.00
_cell_angle_beta 90.00
_cell_angle_gamma 90.00
loop_
_atom_site_label
_atom_site_type_symbol
_atom_site_fract_x
_atom_site_fract_y
_atom_site_fract_z
Li1 Li 0.000 0.000 0.000
Ge1 Ge 0.000 0.145 0.469
S1 S 0.000 0.000 0.513
S2 S 0.000 0.164 0.020
```

**V**: 18.81 Å³/atom
**E_tot**: -4.3929 eV per atom
**Magnetization**: 0.00 μB/f.u.

---

The following is a GGA-PBE calculation of a relaxed AgHgW2 crystal, from the Alexandria database.

The structure in CIF format:
```
data_AgHgW2
_chemical_formula_sum 'Ag1 Hg1 W2'
_space_group_name_H-M_alt 'P 4/m m m'
_space_group_IT_number 123
_space_group_name_Hall '-P 4 2'
_cell_length_a 3.471
_cell_length_b 3.471
_cell_length_c 5.907
_cell_angle_alpha 90.00
_cell_angle_beta 90.00
_cell_angle_gamma 90.00
loop_
_atom_site_label
_atom_site_type_symbol
_atom_site_fract_x
_atom_site_fract_y
_atom_site_fract_z
Ag1 Ag 0.000 0.000 0.000
Hg1 Hg 0.000 0.000 0.500
W1 W 0.500 0.500 0.214
```

**V**: 17.80 Å³/atom
**E_tot**: -6.2125 eV per atom
**Magnetization**: 0.00 μB/f.u.
**Formation energy**: 1.05 eV per atom

---

The following is a GGA-PBE calculation of a relaxed LiLaV2N crystal, from the Alexandria database.

The structure in CIF format:
```
data_LiLaV2N
_chemical_formula_sum 'Li1 La1 V2 N1'
_space_group_name_H-M_alt 'P 4/m m m'
_space_group_IT_number 123
_space_group_name_Hall '-P 4 2'
_cell_length_a 4.526
_cell_length_b 4.526
_cell_length_c 4.731
_cell_angle_alpha 90.00
_cell_angle_beta 90.00
_cell_angle_gamma 90.00
loop_
_atom_site_label
_atom_site_type_symbol
_atom_site_fract_x
_atom_site_fract_y
_atom_site_fract_z
Li1 Li 0.000 0.000 0.000
La1 La 0.000 0.000 0.500
V1 V 0.000 0.500 0.500
N1 N 0.500 0.500 0.000
```

**V**: 19.38 Å³/atom
**E_tot**: -4.2120 eV per atom
**Magnetization**: 0.00 μB/f.u.

---

The following is a GGA-PBE calculation of a relaxed Pr2RhCl crystal, from the Alexandria database.

The structure in CIF format:
```
data_Pr2RhCl
_chemical_formula_sum 'Pr2 Rh1 Cl1'
_space_group_name_H-M_alt 'P 4/m m m'
_space_group_IT_number 123
_space_group_name_Hall '-P 4 2'
_cell_length_a 3.470
_cell_length_b 3.470
_cell_length_c 8.160
_cell_angle_alpha 90.00
_cell_angle_beta 90.00
_cell_angle_gamma 90.00
loop_
_atom_site_label
_atom_site_type_symbol
_atom_site_fract_x
_atom_site_fract_y
_atom_site_fract_z
Pr1 Pr 0.000 0.000 0.220
Rh1 Rh 0.500 0.500 0.000
Cl1 Cl 0.500 0.500 0.500
```

**V**: 24.56 Å³/atom
**E_tot**: -5.6830 eV per atom
**Magnetization**: 0.00 μB/f.u.
**Distance to the lowest polymorph of the same formula**: 16.5 kJ/mol of atoms

---

The following is a GGA-PBE calculation of a relaxed RbPtF crystal, from the Alexandria database.

The structure in CIF format:
```
data_RbPtF
_chemical_formula_sum 'Rb4 Pt4 F4'
_space_group_name_H-M_alt 'P n m a'
_space_group_IT_number 62
_space_group_name_Hall '-P 2ac 2n'
_cell_length_a 6.403
_cell_length_b 3.176
_cell_length_c 13.607
_cell_angle_alpha 90.00
_cell_angle_beta 90.00
_cell_angle_gamma 90.00
loop_
_atom_site_label
_atom_site_type_symbol
_atom_site_fract_x
_atom_site_fract_y
_atom_site_fract_z
Rb1 Rb 0.126 0.250 0.159
Pt1 Pt 0.089 0.750 0.441
F1 F 0.221 0.250 0.810
```

**V**: 23.05 Å³/atom
**E_tot**: -4.1170 eV per atom
**Magnetization**: 0.00 μB/f.u.
**Distance to the lowest polymorph of the same formula**: 18.3 kJ/mol of atoms

---

The following is a GGA-PBE calculation of a relaxed RbMnI3 crystal, from the Alexandria database.

The structure in CIF format:
```
data_RbMnI3
_chemical_formula_sum 'Rb4 Mn4 I12'
_space_group_name_H-M_alt 'C m c m'
_space_group_IT_number 63
_space_group_name_Hall '-C 2c 2'
_cell_length_a 8.683
_cell_length_b 12.227
_cell_length_c 9.705
_cell_angle_alpha 90.00
_cell_angle_beta 90.00
_cell_angle_gamma 90.00
loop_
_atom_site_label
_atom_site_type_symbol
_atom_site_fract_x
_atom_site_fract_y
_atom_site_fract_z
Rb1 Rb 0.000 0.040 0.250
Mn1 Mn 0.000 0.390 0.250
I1 I 0.000 0.500 0.000
I2 I 0.239 0.221 0.750
```

**V**: 51.52 Å³/atom
**E_tot**: -3.7217 eV per atom
**Magnetization**: 5.00 μB/f.u.

---

The following is a GGA-PBE calculation of a relaxed Pr4SiSe3 crystal, from the Alexandria database.

The structure in CIF format:
```
data_Pr4SiSe3
_chemical_formula_sum 'Pr8 Si2 Se6'
_space_group_name_H-M_alt 'C m m m'
_space_group_IT_number 65
_space_group_name_Hall '-C 2 2'
_cell_length_a 8.609
_cell_length_b 12.141
_cell_length_c 4.275
_cell_angle_alpha 90.00
_cell_angle_beta 90.00
_cell_angle_gamma 90.00
loop_
_atom_site_label
_atom_site_type_symbol
_atom_site_fract_x
_atom_site_fract_y
_atom_site_fract_z
Pr1 Pr 0.000 0.243 0.000
Pr2 Pr 0.240 0.000 0.500
Si1 Si 0.000 0.000 0.000
Se1 Se 0.000 0.500 0.000
Se2 Se 0.250 0.250 0.500
```

**V**: 27.93 Å³/atom
**E_tot**: -5.9930 eV per atom
**Magnetization**: 0.00 μB/f.u.